The following is a DFT calculation (SCAN) of NbCI2 at its PBEsol-relaxed geometry.

Results
E_tot = -27.47 eV per atom
Spin magnetization = 0.10 μB/atom
Fermi-level density of states = 2.010 states/eV/cell
ΔE_f (raw) = 1.711 eV/atom
SG = No. 225

abc: 4.7640 4.7640 4.7640
angles: 60.00 60.00 60.00
Fractional positions:
Nb1 0.0000 0.0000 0.0000
C1 0.5000 0.5000 0.5000
I1 0.2500 0.2500 0.2500
I2 0.7500 0.7500 0.7500